Entry 1:
## LaAs2Os (GGA-PBEsol)

Data for a relaxed LaAs2Os crystal.

POSCAR file:
```
LaAs2Os
1.0
4.469 0.000 0.000
0.000 4.118 0.000
-1.063 0.000 4.614
La As Os
1 2 1
direct
0.000 0.000 0.000 La
0.359 0.500 0.730 As
0.641 0.500 0.270 As
0.500 0.000 0.500 Os
```

## Properties
formation energy	-198	kJ/mol of formula units
excess energy over the best structure of this formula in the dataset	0.000	eV per atom

Entry 2:
## LaCoAg2 (GGA-PBEsol)

Data for a relaxed LaCoAg2 crystal.

POSCAR file:
```
LaCoAg2
1.0
3.904 0.000 0.000
0.000 3.904 0.000
0.000 0.000 4.848
La Co Ag
1 1 2
direct
0.000 0.000 0.000 La
0.500 0.500 0.000 Co
0.000 0.500 0.500 Ag
0.500 0.000 0.500 Ag
```

## Properties
formation energy	41	kJ/mol of formula units

| no. | DFT total energy (eV/atom) | DOS(E_F) (states/eV/f.u.) |
| --- | --- | --- |
| 1 | -7.46 | 2.6 |
| 2 | -4.82 | 2.0 |